{
  "formula": "In2Pd6Pb",
  "functional": "GGA-PBE",
  "state": "relaxed",
  "sg": "C2/m (12)",
  "e_tot_ha_per_atom": -0.17482,
  "lattice_angstrom": [[7.184, -3.811, 0.000], [7.184, 3.811, 0.000], [-0.661, 0.000, 3.056]],
  "species": ["In", "In", "Pd", "Pd", "Pd", "Pd", "Pd", "Pd", "Pb"],
  "fractional_positions": [[0.169, 0.169, 0.168], [0.831, 0.831, 0.832], [0.131, 0.534, 0.333], [0.188, 0.812, 0.000], [0.466, 0.869, 0.667], [0.534, 0.131, 0.333], [0.812, 0.188, 0.000], [0.869, 0.466, 0.667], [0.500, 0.500, 0.500]]
}